4
Lattice="-4.2887 -0.6316 -2.5687 -0.4090 -3.7538 -3.3364 -2.9758 -3.9426 0.9956" Properties=species:S:1:pos:R:3 comment="PmGdRuAu (PBE, relaxed)" e_tot_ev_per_atom=-8.335 e_form_mev_per_atom=-488 total_magnetization_mub_per_atom=1.763 pbc="T T T"
Gd -3.8367 -4.1640 -2.4548
Pm 0.0000 0.0000 0.0000
Ru -5.7551 -6.2460 -3.6822
Au -1.9184 -2.0820 -1.2274


4
Lattice="-3.5270 0.5855 3.9200 -4.0978 -3.3459 0.4033 -0.1689 -3.5218 3.9645" Properties=species:S:1:pos:R:3 comment="PmGdSbAu (PBE, relaxed)" e_tot_ev_per_atom=-7.378 total_magnetization_mub_per_atom=2.029 formation_energy_uncorrected_ev_per_atom=-0.820 pbc="T T T"
Au 0.0000 0.0000 0.0000
Gd -1.9484 -1.5705 2.0720
Pm -5.8453 -4.7116 6.2159
Sb -3.8968 -3.1411 4.1439


4
Lattice="5.1333 0.0000 0.0000 2.5666 4.4456 0.0000 2.5666 1.4819 4.1913" Properties=species:S:1:pos:R:3 comment="PmGdSiAu (PBE, relaxed)" e_tot_ev_per_atom=-7.543 total_magnetization_mub_per_atom=1.955 formation_energy_uncorrected_ev_per_atom=-0.660 pbc="T T T"
Gd 5.1333 2.9637 2.0957
Pm 0.0000 0.0000 0.0000
Au 2.5667 1.4819 1.0478
Si 7.7000 4.4456 3.1435


4
Lattice="-1.8073 -0.2803 4.9817 2.0449 -3.5545 3.3684 3.0574 1.6131 4.0265" Properties=species:S:1:pos:R:3 comment="PmGdSnAu (PBE, relaxed)" e_tot_ev_per_atom=-7.266 e_form_mev_per_atom=-738 total_magnetization_mub_per_atom=1.977 pbc="T T T"
Au 2.4712 -1.6663 9.2825
Sn 0.8237 -0.5554 3.0942
Gd 1.6475 -1.1108 6.1883
Pm 0.0000 0.0000 0.0000


4
Lattice="-1.3884 3.0419 -3.7740 1.0514 -1.2572 -4.7684 -3.7117 -1.3850 -3.1191" Properties=species:S:1:pos:R:3 comment="PmGdTcAu (PBE, relaxed)" e_tot_ev_per_atom=-8.380 e_form_mev_per_atom=-261 total_magnetization_mub_per_atom=1.755 pbc="T T T"
Au -1.0122 0.0999 -2.9154
Pm 0.0000 0.0000 0.0000
Tc -3.0365 0.2998 -8.7461
Gd -2.0243 0.1999 -5.8308


4
Lattice="5.1649 0.0000 0.0000 2.5824 4.4729 0.0000 2.5824 1.4910 4.2171" Properties=species:S:1:pos:R:3 comment="PmGdZnAu (PBE, relaxed)" e_tot_ev_per_atom=-6.404 e_form_mev_per_atom=-558 total_magnetization_mub_per_atom=1.806 pbc="T T T"
Au 5.1649 2.9819 2.1086
Gd 7.7473 4.4729 3.1628
Zn 0.0000 0.0000 0.0000
Pm 2.5824 1.4910 1.0543